Entry from Alexandria: crystalline CoW2Br at its relaxed geometry (PBE).

```
4
Lattice="3.226 0.000 0.000 0.000 3.108 0.000 -0.154 0.000 7.101" Properties=species:S:1:pos:R:3 pbc="T T T"
Co 0.000 0.000 0.000
W 1.614 1.554 1.161
W 3.156 0.000 2.684
Br -0.041 1.554 4.850
```

## Properties
electronic total energy: -0.299 hartree per atom
relative energy among the computed polymorphs: 0 meV per atom
formation energy (no corrections): 0.526 eV per atom
space-group type: Pm
DOS(E_F): 0.955 states/eV/atom